PBE RuC2, optimized geometry; SG = P-62m; N(E_F) = 5.447 states/eV/cell; final energy = -7.46 eV/atom; distance to the lowest polymorph of the same formula = 1.1998 eV per atom; ΔH_f (0 K) = 1784.2 meV/atom
1.0
5.723 0.000 0.000
-2.861 4.956 0.000
0.000 0.000 2.837
Ru C
3 6
Cartesian
0.000 0.000 0.000
0.000 3.304 1.419
2.861 1.652 1.419
-0.788 1.365 1.419
-1.776 3.077 0.000
1.576 0.000 1.419
1.085 1.880 0.000
3.553 0.000 0.000
2.074 3.592 1.419